Entry 1:
## Sr2Ca (PBE-GGA)

Data for a geometry-optimized Sr2Ca structure.

Uncorrected energy, eV/atom: -1.36
Polymorph energy (0 for the lowest one), eV/atom: 0.413
DOS at the Fermi energy, states/eV/f.u.: 4.95

POSCAR file:
```
Sr2Ca
1.0
9.842 0.000 0.000
0.000 9.842 0.000
0.000 0.000 3.981
Sr Ca
4 2
Direct
0.239 0.239 0.000
0.261 0.739 0.500
0.739 0.261 0.500
0.761 0.761 0.000
0.000 0.000 0.500
0.500 0.500 0.000
```


Entry 2:
## Sr2Ca5 (PBE-GGA)

Data for a geometry-optimized Sr2Ca5 structure.

Uncorrected energy, eV/atom: -1.89
DOS at the Fermi energy, states/eV/f.u.: 7.39

POSCAR file:
```
Sr2Ca5
1.0
8.925 -3.440 0.000
8.925 3.440 0.000
-0.491 0.000 10.396
Sr Ca
4 10
Direct
0.096 0.756 0.894
0.244 0.904 0.606
0.756 0.096 0.394
0.904 0.244 0.106
0.042 0.385 0.819
0.187 0.518 0.536
0.335 0.665 0.250
0.385 0.042 0.319
0.482 0.813 0.964
0.518 0.187 0.036
0.615 0.958 0.681
0.665 0.335 0.750
0.813 0.482 0.464
0.958 0.615 0.181
```


Entry 3:
## Sr5Ca24 (PBE-GGA)

Data for a geometry-optimized Sr5Ca24 structure.

Uncorrected energy, eV/atom: -1.91
DOS at the Fermi energy, states/eV/f.u.: 38.65

POSCAR file:
```
Sr5Ca24
1.0
-6.867 6.867 6.867
6.867 -6.867 6.867
6.867 6.867 -6.867
Sr Ca
5 24
Direct
0.000 0.000 0.000
0.000 0.000 0.633
0.000 0.633 0.000
0.367 0.367 0.367
0.633 0.000 0.000
0.000 0.191 0.379
0.000 0.379 0.191
0.000 0.405 0.679
0.000 0.679 0.405
0.188 0.809 0.809
0.191 0.000 0.379
0.191 0.379 0.000
0.274 0.595 0.595
0.321 0.321 0.726
0.321 0.726 0.321
0.379 0.000 0.191
0.379 0.191 0.000
0.405 0.000 0.679
0.405 0.679 0.000
0.595 0.274 0.595
0.595 0.595 0.274
0.621 0.621 0.812
0.621 0.812 0.621
0.679 0.000 0.405
0.679 0.405 0.000
0.726 0.321 0.321
0.809 0.188 0.809
0.809 0.809 0.188
0.812 0.621 0.621
```


no.,ρ (Mg/m³),energy relative to the elements (meV per atom)
1,1.85,425
2,1.95,17
3,1.79,33